# 1
This record from the Alexandria database describes a geometry-optimized K3CrH7 structure. The functional is PBE.

POSCAR file:
```
K3CrH7
1.0
0.000 4.356 4.105
4.191 0.000 4.105
4.191 4.356 0.000
K Cr H
3 1 7
direct
0.000 0.000 0.000
0.236 0.236 0.264
0.736 0.736 0.764
0.480 0.480 0.520
0.202 0.426 0.798
0.278 0.681 0.319
0.344 0.729 0.656
0.426 0.202 0.574
0.681 0.278 0.722
0.686 0.686 0.314
0.729 0.344 0.271
```

Computed properties:
Crystal system: orthorhombic
Total magnetic moment: 2.0 Bohr magnetons per cell
Total energy: -0.128 hartree per atom
SG: Fmm2 (42)
Calculated volume: 149.9 Å³ per cell
Density of states at the Fermi level: 0.0 states/eV per cell


# 2
This record from the Alexandria database describes a geometry-optimized NaScCo2Ag structure. The functional is PBE.

POSCAR file:
```
NaScCo2Ag
1.0
4.851 0.000 0.000
0.000 4.851 0.000
0.000 0.000 4.989
Na Sc Co Ag
1 1 2 1
direct
0.000 0.000 0.000
0.500 0.500 0.000
0.000 0.500 0.500
0.500 0.000 0.500
0.500 0.500 0.500
```

Computed properties:
Crystal system: tetragonal
Total magnetic moment: 3.0 Bohr magnetons per cell
Formation enthalpy at 0 K: 1.08 eV per atom
Total energy: -0.142 hartree per atom
SG: P4/mmm (123)
Calculated volume: 117.4 Å³ per cell
Density of states at the Fermi level: 8.4 states/eV per cell


# 3
This record from the Alexandria database describes a geometry-optimized MoS structure. The functional is PBE.

POSCAR file:
```
MoS
1.0
0.000 4.132 5.066
3.821 0.000 5.066
3.821 4.132 0.000
Mo S
4 4
direct
0.007 0.007 0.743
0.257 0.257 0.993
0.743 0.743 0.007
0.993 0.993 0.257
0.131 0.619 0.619
0.381 0.869 0.869
0.619 0.131 0.131
0.869 0.381 0.381
```

Computed properties:
Crystal system: orthorhombic
Total magnetic moment: 0.0 Bohr magnetons per cell
Total energy: -0.283 hartree per atom
SG: Fddd (70)
Calculated volume: 160.0 Å³ per cell
Polymorph energy (0 for the lowest one): 226 meV/atom
Formation energy (no corrections): -0.232 eV/atom
Density of states at the Fermi level: 5.0 states/eV per cell


# 4
This record from the Alexandria database describes a geometry-optimized LiMnP structure. The functional is PBE.

POSCAR file:
```
LiMnP
1.0
2.982 0.000 0.000
0.000 3.719 0.000
0.000 0.000 4.423
Li Mn P
1 1 1
direct
0.000 0.000 0.000
0.000 0.500 0.500
0.500 0.000 0.500
```

Computed properties:
Crystal system: orthorhombic
Total magnetic moment: 3.5 Bohr magnetons per cell
Formation enthalpy at 0 K: -0.19 eV per atom
Total energy: -0.209 hartree per atom
SG: Pmmm (47)
Calculated volume: 49.1 Å³ per cell
Density of states at the Fermi level: 1.8 states/eV per cell


# 5
This record from the Alexandria database describes a geometry-optimized HfScFeRe structure. The functional is PBE.

POSCAR file:
```
HfScFeRe
1.0
0.000 3.220 3.220
3.220 0.000 3.220
3.220 3.220 0.000
Hf Sc Fe Re
1 1 1 1
direct
0.000 0.000 0.000
0.500 0.500 0.500
0.750 0.750 0.750
0.250 0.250 0.250
```

Computed properties:
Crystal system: cubic
Total magnetic moment: 1.3 Bohr magnetons per cell
Formation enthalpy at 0 K: -0.12 eV per atom
Total energy: -0.346 hartree per atom
SG: F-43m (216)
Calculated volume: 66.8 Å³ per cell
Density of states at the Fermi level: 5.7 states/eV per cell


Number 1: calculated density 1954 kg/m3. Number 2: calculated density 4154 kg/m3. Number 3: calculated density 5314 kg/m3. Number 4: calculated density 3143 kg/m3. Number 5: calculated density 11573 kg/m3.